Record 1
A crystal of SrZrAg2 relaxed with PBEsol, computed with SCAN.

abc: 5.7785 5.7785 5.7785
angles: 136.62 136.62 63.03
Element x y z (fractional)
Sr1 0.0000 0.0000 0.0000
Zr1 0.7500 0.2500 0.5000
Ag1 0.2500 0.7500 0.5000
Ag2 0.5000 0.5000 0.0000

Summary:
Theoretical density ... 7.3 g cm⁻³
Total energy ... -28.663 eV per atom

---

Record 2
A crystal of GaSbAs2Se relaxed with PBEsol, computed with SCAN.

abc: 4.8448 4.8448 4.8651
angles: 90.00 90.00 90.00
Element x y z (fractional)
Ga1 0.0000 0.0000 0.0000
Sb1 0.5000 0.5000 0.5000
As1 0.0000 0.5000 0.0000
As2 0.5000 0.0000 0.0000
Se1 0.0000 0.0000 0.5000

Summary:
Theoretical density ... 6.1 g cm⁻³
Total energy ... -22.229 eV per atom

---

Record 3
A crystal of Y2C relaxed with PBEsol, computed with SCAN.

abc: 6.4161 6.4161 6.4161
angles: 32.24 32.24 32.24
Element x y z (fractional)
Y1 0.2399 0.2399 0.2399
Y2 0.7601 0.7601 0.7601
C1 0.5000 0.5000 0.5000

Summary:
Theoretical density ... 4.7 g cm⁻³
Total energy ... -22.358 eV per atom